Record 1
DFT (PBE) results for a relaxed structure of CdNiTePb2.

The structure in POSCAR format:
```
CdNiTePb2
1.0
5.2053 0.0000 0.0000
0.0000 5.2053 0.0000
0.0000 0.0000 5.0485
Cd Ni Te Pb
1 1 1 2
Direct
0.0000 0.0000 0.0000
0.0000 0.0000 0.5000
0.5000 0.5000 0.0000
0.0000 0.5000 0.5000
0.5000 0.0000 0.5000
```

Crystal system ... tetragonal
Spin magnetization ... 0.000 μB per atom
Uncorrected formation energy ... -5 meV per atom



Record 2
DFT (PBE) results for a relaxed structure of Tl2CdNiPb.

The structure in POSCAR format:
```
Tl2CdNiPb
1.0
5.1148 0.0000 0.0000
0.0000 5.1148 0.0000
0.0000 0.0000 5.2939
Tl Cd Ni Pb
2 1 1 1
Direct
0.0000 0.5000 0.0000
0.5000 0.0000 0.0000
0.0000 0.0000 0.5000
0.5000 0.5000 0.0000
0.5000 0.5000 0.5000
```

Energy relative to the lowest polymorph listed for this composition ... 0.0 meV per atom
Crystal system ... tetragonal
E_form ... 0.14 eV/atom
Spin magnetization ... 0.000 μB per atom



Record 3
DFT (PBE) results for a relaxed structure of Tl2CdNiPb.

The structure in POSCAR format:
```
Tl2CdNiPb
1.0
5.0862 0.0000 0.0000
0.0000 5.0862 0.0000
0.0000 0.0000 5.1368
Tl Cd Ni Pb
2 1 1 1
Direct
0.0000 0.5000 0.0000
0.5000 0.0000 0.0000
0.0000 0.0000 0.5000
0.0000 0.0000 0.0000
0.5000 0.5000 0.5000
```

Energy relative to the lowest polymorph listed for this composition ... 27.4 meV per atom
Crystal system ... tetragonal
E_form ... 0.17 eV/atom
Spin magnetization ... 0.000 μB per atom



Record 4
DFT (PBE) results for a relaxed structure of Cd5NiPd.

The structure in POSCAR format:
```
Cd5NiPd
1.0
5.6712 -4.0575 0.0000
5.6712 4.0575 0.0000
-3.9262 0.0000 8.2523
Cd Ni Pd
10 2 2
Direct
0.1152 0.8848 0.7500
0.2273 0.2625 0.0982
0.2625 0.2273 0.5982
0.2982 0.6721 0.0335
0.3279 0.7018 0.4665
0.6721 0.2982 0.5335
0.7018 0.3279 0.9665
0.7375 0.7727 0.4018
0.7727 0.7375 0.9018
0.8848 0.1152 0.2500
0.0000 0.0000 0.0000
0.0000 0.0000 0.5000
0.4507 0.5493 0.7500
0.5493 0.4507 0.2500
```

Crystal system ... monoclinic
E_form ... 0.10 eV/atom
Spin magnetization ... 0.000 μB per atom



Record 5
DFT (PBE) results for a relaxed structure of CdNi2Pd8.

The structure in POSCAR format:
```
CdNi2Pd8
1.0
7.0097 -1.9786 0.0000
7.0097 1.9786 0.0000
-1.7989 0.0000 5.9916
Cd Ni Pd
1 2 8
Direct
0.0000 0.0000 0.0000
0.2728 0.2728 0.3620
0.7272 0.7272 0.6380
0.0999 0.0999 0.4666
0.1843 0.1843 0.9184
0.3547 0.3547 0.7948
0.4514 0.4514 0.2751
0.5486 0.5486 0.7249
0.6453 0.6453 0.2052
0.8157 0.8157 0.0816
0.9001 0.9001 0.5334
```

Crystal system ... monoclinic
E_form ... -0.06 eV/atom
Spin magnetization ... 0.314 μB per atom



Record 6
DFT (PBE) results for a relaxed structure of CdNiPd4.

The structure in POSCAR format:
```
CdNiPd4
1.0
9.4141 0.0000 0.0000
0.0000 2.8629 0.0000
-2.9867 0.0000 6.9010
Cd Ni Pd
2 2 8
Direct
0.0000 0.0000 0.0000
0.5000 0.5000 0.0000
0.0000 0.0000 0.5000
0.5000 0.5000 0.5000
0.1543 0.5000 0.3456
0.1685 0.5000 0.8148
0.3315 0.0000 0.1852
0.3457 0.0000 0.6544
0.6543 0.0000 0.3456
0.6685 0.0000 0.8148
0.8315 0.5000 0.1852
0.8457 0.5000 0.6544
```

Energy relative to the lowest polymorph listed for this composition ... 10.7 meV per atom
Crystal system ... monoclinic
E_form ... -0.11 eV/atom
Spin magnetization ... 0.225 μB per atom



Record 7
DFT (PBE) results for a relaxed structure of CdNiPd.

The structure in POSCAR format:
```
CdNiPd
1.0
2.8904 0.0000 0.0000
0.0000 2.8904 0.0000
0.0000 0.0000 23.1518
Cd Ni Pd
4 4 4
Direct
0.0000 0.0000 0.1419
0.0000 0.0000 0.8581
0.5000 0.5000 0.3581
0.5000 0.5000 0.6419
0.0000 0.0000 0.2781
0.0000 0.0000 0.7219
0.5000 0.5000 0.2219
0.5000 0.5000 0.7781
0.0000 0.0000 0.4428
0.0000 0.0000 0.5572
0.5000 0.5000 0.0572
0.5000 0.5000 0.9428
```

Energy relative to the lowest polymorph listed for this composition ... 124.4 meV per atom
Crystal system ... tetragonal
E_form ... 0.05 eV/atom
Spin magnetization ... 0.086 μB per atom



Record 8
DFT (PBE) results for a relaxed structure of Cd2NiPd6.

The structure in POSCAR format:
```
Cd2NiPd6
1.0
7.0896 -3.8350 0.0000
7.0896 3.8350 0.0000
-0.5497 0.0000 2.7603
Cd Ni Pd
2 1 6
Direct
0.1612 0.1612 0.1600
0.8388 0.8388 0.8400
0.5000 0.5000 0.5000
0.1530 0.5166 0.3359
0.2136 0.7864 0.0000
0.4834 0.8470 0.6641
0.5166 0.1530 0.3359
0.7864 0.2136 0.0000
0.8470 0.4834 0.6641
```

Crystal system ... monoclinic
E_form ... -0.05 eV/atom
Spin magnetization ... 0.155 μB per atom



Record 9
DFT (PBE) results for a relaxed structure of CdNiPd.

The structure in POSCAR format:
```
CdNiPd
1.0
2.9398 0.0000 0.0000
0.0000 2.9398 0.0000
0.0000 0.0000 10.6525
Cd Ni Pd
2 2 2
Direct
0.0000 0.0000 0.0000
0.5000 0.5000 0.5000
0.0000 0.0000 0.6660
0.5000 0.5000 0.1660
0.0000 0.0000 0.3140
0.5000 0.5000 0.8140
```

Energy relative to the lowest polymorph listed for this composition ... 0.0 meV per atom
Crystal system ... tetragonal
E_form ... -0.07 eV/atom
Spin magnetization ... 0.000 μB per atom



Record 10
DFT (PBE) results for a relaxed structure of Cd2NiPd9.

The structure in POSCAR format:
```
Cd2NiPd9
1.0
3.9827 0.0000 0.0000
0.0000 3.9827 0.0000
0.0000 0.0000 11.9546
Cd Ni Pd
2 1 9
Direct
0.0000 0.0000 0.1717
0.0000 0.0000 0.8283
0.0000 0.0000 0.5000
0.0000 0.5000 0.0000
0.0000 0.5000 0.3453
0.0000 0.5000 0.6547
0.5000 0.0000 0.0000
0.5000 0.0000 0.3453
0.5000 0.0000 0.6547
0.5000 0.5000 0.1735
0.5000 0.5000 0.5000
0.5000 0.5000 0.8265
```

Crystal system ... tetragonal
E_form ... -0.14 eV/atom
Spin magnetization ... 0.093 μB per atom



Record 11
DFT (PBE) results for a relaxed structure of CdNiPd2.

The structure in POSCAR format:
```
CdNiPd2
1.0
3.8280 0.0000 0.0000
0.0000 3.8280 0.0000
0.0000 0.0000 18.4850
Cd Ni Pd
4 4 8
Direct
0.0000 0.0000 0.0000
0.0000 0.5000 0.2500
0.5000 0.0000 0.7500
0.5000 0.5000 0.5000
0.0000 0.0000 0.5000
0.0000 0.5000 0.7500
0.5000 0.0000 0.2500
0.5000 0.5000 0.0000
0.2366 0.2500 0.6250
0.2500 0.7366 0.8750
0.2500 0.7634 0.3750
0.2634 0.2500 0.1250
0.7366 0.7500 0.1250
0.7500 0.2366 0.3750
0.7500 0.2634 0.8750
0.7634 0.7500 0.6250
```

Crystal system ... tetragonal
E_form ... 0.21 eV/atom
Spin magnetization ... 0.000 μB per atom



Record 12
DFT (PBE) results for a relaxed structure of Cd2Ni2Pd.

The structure in POSCAR format:
```
Cd2Ni2Pd
1.0
6.5067 0.0000 0.0000
0.0000 6.5067 0.0000
0.0000 0.0000 3.7975
Cd Ni Pd
4 4 2
Direct
0.1760 0.3240 0.0000
0.3240 0.8240 0.0000
0.6760 0.1760 0.0000
0.8240 0.6760 0.0000
0.1245 0.6245 0.5000
0.3755 0.1245 0.5000
0.6245 0.8755 0.5000
0.8755 0.3755 0.5000
0.0000 0.0000 0.5000
0.5000 0.5000 0.5000
```

Energy relative to the lowest polymorph listed for this composition ... 0.0 meV per atom
Crystal system ... tetragonal
E_form ... 0.02 eV/atom
Spin magnetization ... 0.000 μB per atom



Record 13
DFT (PBE) results for a relaxed structure of CdNiPd3.

The structure in POSCAR format:
```
CdNiPd3
1.0
4.5963 0.0000 0.0000
0.0000 4.5963 0.0000
0.0000 0.0000 4.5963
Cd Ni Pd
1 1 3
Direct
0.0000 0.0000 0.0000
0.5000 0.5000 0.5000
0.0000 0.5000 0.5000
0.5000 0.0000 0.5000
0.5000 0.5000 0.0000
```

Energy relative to the lowest polymorph listed for this composition ... 0.0 meV per atom
Crystal system ... cubic
E_form ... 0.52 eV/atom
Spin magnetization ... 0.249 μB per atom



Record 14
DFT (PBE) results for a relaxed structure of Cd5NiPd4.

The structure in POSCAR format:
```
Cd5NiPd4
1.0
3.2635 0.0000 0.0000
0.0000 3.2635 0.0000
0.0000 0.0000 16.1509
Cd Ni Pd
5 1 4
Direct
0.0000 0.0000 0.0000
0.0000 0.0000 0.2045
0.0000 0.0000 0.4080
0.0000 0.0000 0.5920
0.0000 0.0000 0.7955
0.5000 0.5000 0.5000
0.5000 0.5000 0.1022
0.5000 0.5000 0.3068
0.5000 0.5000 0.6932
0.5000 0.5000 0.8978
```

Crystal system ... tetragonal
E_form ... -0.30 eV/atom
Spin magnetization ... 0.000 μB per atom



Record 15
DFT (PBE) results for a relaxed structure of CdNiPd4.

The structure in POSCAR format:
```
CdNiPd4
1.0
2.8924 0.0000 0.0000
0.0000 2.8924 0.0000
0.0000 0.0000 11.0589
Cd Ni Pd
1 1 4
Direct
0.0000 0.0000 0.0000
0.5000 0.5000 0.5000
0.0000 0.0000 0.3554
0.0000 0.0000 0.6446
0.5000 0.5000 0.1804
0.5000 0.5000 0.8196
```

Energy relative to the lowest polymorph listed for this composition ... 0.0 meV per atom
Crystal system ... tetragonal
E_form ... -0.12 eV/atom
Spin magnetization ... 0.233 μB per atom



Record 16
DFT (PBE) results for a relaxed structure of Cd2Ni2Pd.

The structure in POSCAR format:
```
Cd2Ni2Pd
1.0
7.5252 0.0000 0.0000
0.0000 7.5252 0.0000
0.0000 0.0000 2.8619
Cd Ni Pd
4 4 2
Direct
0.1727 0.3273 0.0000
0.3273 0.8273 0.0000
0.6727 0.1727 0.0000
0.8273 0.6727 0.0000
0.1213 0.6213 0.5000
0.3787 0.1213 0.5000
0.6213 0.8787 0.5000
0.8787 0.3787 0.5000
0.0000 0.0000 0.0000
0.5000 0.5000 0.0000
```

Energy relative to the lowest polymorph listed for this composition ... 141.9 meV per atom
Crystal system ... tetragonal
E_form ... 0.16 eV/atom
Spin magnetization ... 0.000 μB per atom



Record 17
DFT (PBE) results for a relaxed structure of CdNiPd3.

The structure in POSCAR format:
```
CdNiPd3
1.0
4.9370 0.0000 0.0000
0.0000 4.9370 0.0000
0.0000 0.0000 4.9370
Cd Ni Pd
1 1 3
Direct
0.0000 0.0000 0.0000
0.5000 0.5000 0.5000
0.0000 0.0000 0.5000
0.0000 0.5000 0.0000
0.5000 0.0000 0.0000
```

Energy relative to the lowest polymorph listed for this composition ... 740.3 meV per atom
Crystal system ... cubic
E_form ... 1.27 eV/atom
Spin magnetization ... 0.238 μB per atom



Record 18
DFT (PBE) results for a relaxed structure of Cd5NiPd6.

The structure in POSCAR format:
```
Cd5NiPd6
1.0
4.2217 -6.4505 0.0000
4.2217 6.4505 0.0000
-2.1996 0.0000 3.7169
Cd Ni Pd
5 1 6
Direct
0.0000 0.0000 0.0000
0.1650 0.8350 0.5000
0.3350 0.6650 0.0000
0.6650 0.3350 0.0000
0.8350 0.1650 0.5000
0.5000 0.5000 0.5000
0.0946 0.4191 0.2572
0.2620 0.2620 0.7622
0.4191 0.0946 0.2572
0.5809 0.9054 0.7428
0.7380 0.7380 0.2378
0.9054 0.5809 0.7428
```

Crystal system ... monoclinic
E_form ... -0.31 eV/atom
Spin magnetization ... 0.000 μB per atom



Record 19
DFT (PBE) results for a relaxed structure of Cd8NiPd2.

The structure in POSCAR format:
```
Cd8NiPd2
1.0
-2.2340 3.7805 6.3105
2.2340 -3.7805 6.3105
2.2340 3.7805 -6.3105
Cd Ni Pd
8 1 2
Direct
0.1328 0.3507 0.7821
0.1424 0.1424 0.0000
0.3104 0.0000 0.3104
0.4314 0.6493 0.7821
0.5686 0.3507 0.2179
0.6896 0.0000 0.6896
0.8576 0.8576 0.0000
0.8672 0.6493 0.2179
0.0000 0.5000 0.5000
0.2972 0.7972 0.5000
0.7028 0.2028 0.5000
```

Crystal system ... orthorhombic
E_form ... -0.14 eV/atom
Spin magnetization ... 0.000 μB per atom



Record 20
DFT (PBE) results for a relaxed structure of Cd2ReNiPd.

The structure in POSCAR format:
```
Cd2ReNiPd
1.0
5.0180 0.0000 0.0000
0.0000 5.0180 0.0000
0.0000 0.0000 4.5862
Cd Re Ni Pd
2 1 1 1
Direct
0.0000 0.5000 0.0000
0.5000 0.0000 0.0000
0.0000 0.0000 0.5000
0.5000 0.5000 0.5000
0.5000 0.5000 0.0000
```

Crystal system ... tetragonal
E_form ... 1.50 eV/atom
Spin magnetization ... 0.948 μB per atom



Record 21
DFT (PBE) results for a relaxed structure of CdNiSbPd.

The structure in POSCAR format:
```
CdNiSbPd
1.0
6.5125 0.0000 0.0000
0.0000 6.5125 0.0000
0.0000 0.0000 6.5125
Cd Ni Sb Pd
4 4 4 4
Direct
0.0000 0.0000 0.0000
0.0000 0.5000 0.5000
0.5000 0.0000 0.5000
0.5000 0.5000 0.0000
0.2500 0.2500 0.2500
0.2500 0.7500 0.7500
0.7500 0.2500 0.7500
0.7500 0.7500 0.2500
0.0000 0.0000 0.5000
0.0000 0.5000 0.0000
0.5000 0.0000 0.0000
0.5000 0.5000 0.5000
0.2500 0.2500 0.7500
0.2500 0.7500 0.2500
0.7500 0.2500 0.2500
0.7500 0.7500 0.7500
```

Crystal system ... cubic
Spin magnetization ... 0.000 μB per atom
Uncorrected formation energy ... -146 meV per atom



Record 22
DFT (PBE) results for a relaxed structure of Sc5Cd2Ni2Pd.

The structure in POSCAR format:
```
Sc5Cd2Ni2Pd
1.0
10.8243 0.0000 0.0000
0.0000 10.8243 0.0000
0.0000 0.0000 3.3465
Sc Cd Ni Pd
10 4 4 2
Direct
0.0000 0.5000 0.0000
0.0738 0.2008 0.0000
0.2008 0.9262 0.0000
0.2992 0.4262 0.0000
0.4262 0.7008 0.0000
0.5000 0.0000 0.0000
0.5738 0.2992 0.0000
0.7008 0.5738 0.0000
0.7992 0.0738 0.0000
0.9262 0.7992 0.0000
0.1720 0.6720 0.5000
0.3280 0.1720 0.5000
0.6720 0.8280 0.5000
0.8280 0.3280 0.5000
0.1308 0.3692 0.5000
0.3692 0.8692 0.5000
0.6308 0.1308 0.5000
0.8692 0.6308 0.5000
0.0000 0.0000 0.5000
0.5000 0.5000 0.5000
```

Crystal system ... tetragonal
E_form ... -0.46 eV/atom
Spin magnetization ... 0.000 μB per atom



Record 23
DFT (PBE) results for a relaxed structure of ScCdNiPd.

The structure in POSCAR format:
```
ScCdNiPd
1.0
6.4427 0.0000 0.0000
0.0000 6.4427 0.0000
0.0000 0.0000 6.4427
Sc Cd Ni Pd
4 4 4 4
Direct
0.0000 0.0000 0.0000
0.0000 0.5000 0.5000
0.5000 0.0000 0.5000
0.5000 0.5000 0.0000
0.0000 0.0000 0.5000
0.0000 0.5000 0.0000
0.5000 0.0000 0.0000
0.5000 0.5000 0.5000
0.2500 0.2500 0.7500
0.2500 0.7500 0.2500
0.7500 0.2500 0.2500
0.7500 0.7500 0.7500
0.2500 0.2500 0.2500
0.2500 0.7500 0.7500
0.7500 0.2500 0.7500
0.7500 0.7500 0.2500
```

Crystal system ... cubic
E_form ... -0.49 eV/atom
Spin magnetization ... 0.000 μB per atom



Record 24
DFT (PBE) results for a relaxed structure of SrCdNiPd2.

The structure in POSCAR format:
```
SrCdNiPd2
1.0
5.1515 0.0000 0.0000
0.0000 5.1515 0.0000
0.0000 0.0000 5.9374
Sr Cd Ni Pd
1 1 1 2
Direct
0.0000 0.0000 0.0000
0.0000 0.0000 0.5000
0.5000 0.5000 0.5000
0.0000 0.5000 0.0000
0.5000 0.0000 0.0000
```

Crystal system ... tetragonal
E_form ... 1.34 eV/atom
Spin magnetization ... 0.127 μB per atom